[1]
Density functional theory data (GGA-PBE) for a relaxed Th2ScTe5 crystal.

Cell: 7.579 7.579 14.602 Å, 90.00 90.00 132.02°
Sites, in units of the cell vectors:
Th: 0.163 0.837 0.558
Th: 0.163 0.837 0.942
Th: 0.837 0.163 0.058
Th: 0.837 0.163 0.442
Sc: 0.207 0.793 0.250
Sc: 0.793 0.207 0.750
Te: 0.049 0.951 0.124
Te: 0.049 0.951 0.376
Te: 0.271 0.729 0.750
Te: 0.340 0.660 0.086
Te: 0.340 0.660 0.414
Te: 0.660 0.340 0.586
Te: 0.660 0.340 0.914
Te: 0.729 0.271 0.250
Te: 0.951 0.049 0.624
Te: 0.951 0.049 0.876

Results
Raw formation energy (eV per atom): -1.09
DOS(E_F) (states/eV/atom): 0.270
ΔE to the lowest computed polymorph (meV/atom): 0


[2]
Density functional theory data (GGA-PBE) for a relaxed AcMg4Zr crystal.

Cell: 6.035 6.035 6.035 Å, 60.00 60.00 60.00°
Sites, in units of the cell vectors:
Ac: 0.000 0.000 0.000
Mg: 0.130 0.623 0.623
Mg: 0.623 0.130 0.623
Mg: 0.623 0.623 0.130
Mg: 0.623 0.623 0.623
Zr: 0.250 0.250 0.250

Results
DOS(E_F) (states/eV/atom): 1.088
DFT formation energy (eV/atom): 0.07


[3]
Density functional theory data (GGA-PBE) for a relaxed Na10B13C7 crystal.

Cell: 4.958 8.532 7.662 Å, 90.00 108.85 90.00°
Sites, in units of the cell vectors:
Na: 0.000 0.246 0.000
Na: 0.000 0.754 0.000
Na: 0.200 0.250 0.400
Na: 0.200 0.750 0.400
Na: 0.399 0.247 0.800
Na: 0.399 0.753 0.800
Na: 0.600 0.249 0.199
Na: 0.600 0.751 0.199
Na: 0.799 0.246 0.600
Na: 0.799 0.754 0.600
B: 0.083 0.000 0.800
B: 0.137 0.500 0.600
B: 0.265 0.000 0.200
B: 0.279 0.500 0.197
B: 0.298 0.500 0.984
B: 0.457 0.000 0.589
B: 0.541 0.500 0.411
B: 0.668 0.000 0.012
B: 0.681 0.500 0.002
B: 0.729 0.500 0.788
B: 0.731 0.000 0.800
B: 0.865 0.000 0.400
B: 0.914 0.500 0.214
C: 0.066 0.500 0.790
C: 0.131 0.000 0.597
C: 0.333 0.000 0.003
C: 0.471 0.500 0.599
C: 0.525 0.000 0.394
C: 0.877 0.500 0.409
C: 0.931 0.000 0.206

Results
DOS(E_F) (states/eV/atom): 0.121
ΔE to the lowest computed polymorph (meV/atom): 29
DFT formation energy (eV/atom): 0.11


[4]
Density functional theory data (GGA-PBE) for a relaxed SrBeFe crystal.

Cell: 3.935 3.935 4.715 Å, 90.00 90.00 120.00°
Sites, in units of the cell vectors:
Sr: 0.000 0.000 0.000
Be: 0.333 0.667 0.493
Fe: 0.667 0.333 0.503

Results
DOS(E_F) (states/eV/atom): 0.930
ΔE to the lowest computed polymorph (meV/atom): 36
DFT formation energy (eV/atom): 0.53